[1]
HoMnAgHg, relaxed, DFT PBE-GGA; energy relative to the elements = -0.064 eV/atom; VASP energy = -4.29 eV per atom
1.0
4.918 0.000 0.000
2.459 4.259 0.000
2.459 1.420 4.015
Ho Ag Hg Mn
1 1 1 1
Direct
0.500 0.500 0.500
0.250 0.250 0.250
0.750 0.750 0.750
0.000 0.000 0.000

---

[2]
La2AlTe, relaxed, DFT PBE-GGA; E above lowest polymorph = 80.7 kJ/mol of formula units; VASP energy = -4.95 eV per atom; formation energy without anion corrections = -3.05 eV per formula unit
1.0
-3.506 1.640 4.115
1.104 -4.745 2.832
2.821 1.689 1.730
La Te Al
2 1 1
Direct
0.000 0.000 0.000
0.500 0.500 0.000
0.500 0.000 0.500
0.000 0.500 0.500

---

- Number 1 is which compound?
  HoMnAgHg

---

- Which of these has the highest VASP energy?
  HoMnAgHg

---

- Which formula does entry 2 have?
  La2AlTe